1.
## Tc2PbCl (PBE)

Data for a relaxed structure of Tc2PbCl.

Cell: 4.659 3.059 5.250 Å, 90.00 107.50 90.00°
Sites, in units of the cell vectors:
Tc  0.000  0.000  0.000
Tc  0.000  0.500  0.500
Pb  0.500  0.000  0.500
Cl  0.500  0.500  0.000

Calculated values
- magnetization (μB per formula unit) = 1.38
- E_tot (eV/atom) = -5.702
- space group = P2/m, No. 10
- uncorrected formation energy (eV per atom) = 0.87
- ΔE to the lowest computed polymorph (meV per atom) = 826.5


2.
## Tc2PbCl (PBE)

Data for a relaxed structure of Tc2PbCl.

Cell: 5.490 9.773 3.327 Å, 90.00 123.60 90.00°
Sites, in units of the cell vectors:
Tc  0.250  0.250  0.000
Tc  0.250  0.750  0.000
Tc  0.750  0.250  0.000
Tc  0.750  0.750  0.000
Pb  0.000  0.000  0.500
Pb  0.500  0.500  0.500
Cl  0.000  0.500  0.500
Cl  0.500  0.000  0.500

Calculated values
- magnetization (μB per formula unit) = 0.00
- E_tot (eV/atom) = -5.651
- space group = C2/m, No. 12
- uncorrected formation energy (eV per atom) = 0.92
- ΔE to the lowest computed polymorph (meV per atom) = 876.8


3.
## TcPb2Cl (PBE)

Data for a relaxed structure of TcPb2Cl.

Cell: 7.149 7.149 7.149 Å, 90.00 90.00 90.00°
Sites, in units of the cell vectors:
Tc  0.000  0.000  0.000
Tc  0.000  0.500  0.500
Tc  0.500  0.000  0.500
Tc  0.500  0.500  0.000
Pb  0.000  0.000  0.500
Pb  0.000  0.500  0.000
Pb  0.250  0.250  0.250
Pb  0.250  0.750  0.750
Pb  0.500  0.000  0.000
Pb  0.500  0.500  0.500
Pb  0.750  0.250  0.750
Pb  0.750  0.750  0.250
Cl  0.250  0.250  0.750
Cl  0.250  0.750  0.250
Cl  0.750  0.250  0.250
Cl  0.750  0.750  0.750

Calculated values
- magnetization (μB per formula unit) = 0.01
- E_tot (eV/atom) = -4.222
- space group = F-43m, No. 216
- uncorrected formation energy (eV per atom) = 0.69
- ΔE to the lowest computed polymorph (meV per atom) = 499.6


4.
## Tc2PbCl (PBE)

Data for a relaxed structure of Tc2PbCl.

Cell: 7.944 2.988 8.355 Å, 90.00 106.74 90.00°
Sites, in units of the cell vectors:
Tc  0.000  0.000  0.000
Tc  0.211  0.000  0.864
Tc  0.500  0.500  0.000
Tc  0.711  0.500  0.864
Pb  0.281  0.500  0.234
Pb  0.781  0.000  0.234
Cl  0.120  0.500  0.631
Cl  0.620  0.000  0.631

Calculated values
- magnetization (μB per formula unit) = 0.00
- E_tot (eV/atom) = -6.356
- space group = Cm, No. 8
- uncorrected formation energy (eV per atom) = 0.22
- ΔE to the lowest computed polymorph (meV per atom) = 172.0


5.
## TcPb2Cl (PBE)

Data for a relaxed structure of TcPb2Cl.

Cell: 3.154 5.359 11.761 Å, 90.00 90.00 90.00°
Sites, in units of the cell vectors:
Tc  0.000  0.000  0.000
Tc  0.500  0.500  0.500
Pb  0.000  0.000  0.506
Pb  0.000  0.500  0.293
Pb  0.500  0.000  0.793
Pb  0.500  0.500  0.006
Cl  0.000  0.500  0.660
Cl  0.500  0.000  0.160

Calculated values
- magnetization (μB per formula unit) = 0.00
- E_tot (eV/atom) = -4.661
- space group = Imm2, No. 44
- uncorrected formation energy (eV per atom) = 0.25
- ΔE to the lowest computed polymorph (meV per atom) = 60.8


6.
## TcPb2Cl (PBE)

Data for a relaxed structure of TcPb2Cl.

Cell: 3.288 4.905 6.407 Å, 90.00 90.00 90.00°
Sites, in units of the cell vectors:
Tc  0.000  0.000  0.000
Pb  0.000  0.500  0.500
Pb  0.500  0.500  0.000
Cl  0.500  0.000  0.500

Calculated values
- magnetization (μB per formula unit) = 2.95
- E_tot (eV/atom) = -4.379
- space group = Pmmm, No. 47
- uncorrected formation energy (eV per atom) = 0.53
- ΔE to the lowest computed polymorph (meV per atom) = 342.8